1.
Cs4H2AuCl: optimized geometry, PBE-GGA.

Values from the calculation:
**Theoretical density**: 3.96 g cm⁻³
**Total energy**: -2.547 eV/atom
**DOS(E_F)**: 0.000 states/eV/cell

CIF file:
```
data_Cs4H2AuCl
_symmetry_space_group_name_H-M 'P 1 2/m 1'
_symmetry_Int_Tables_number 10
_cell_length_a 8.3847
_cell_length_b 4.8074
_cell_length_c 8.4304
_cell_angle_alpha 90.00
_cell_angle_beta 109.20
_cell_angle_gamma 90.00
loop_
_symmetry_equiv_pos_as_xyz
'x,y,z'
'-x,-y,-z'
'-x,y,-z'
'x,-y,z'
loop_
_atom_site_label
_atom_site_fract_x
_atom_site_fract_y
_atom_site_fract_z
Cs1 0.2324 0.0000 0.2201
Cs2 0.2515 0.5000 0.7738
H1 0.0000 0.5000 0.0000
H2 0.5000 0.0000 0.0000
Au1 0.5000 0.5000 0.5000
Cl1 0.0000 0.0000 0.5000
```

---

2.
YGa2IO8: optimized geometry, PBE-GGA.

Values from the calculation:
**Theoretical density**: 5.42 g cm⁻³
**Total energy**: -5.977 eV/atom
**ΔE_f (raw)**: -1499 meV/atom

CIF file:
```
data_YGa2IO8
_symmetry_space_group_name_H-M 'C 1 2/m 1'
_symmetry_Int_Tables_number 12
_cell_length_a 6.9944
_cell_length_b 6.4036
_cell_length_c 6.6733
_cell_angle_alpha 90.00
_cell_angle_beta 97.76
_cell_angle_gamma 90.00
loop_
_symmetry_equiv_pos_as_xyz
'x,y,z'
'-x,-y,-z'
'-x,y,-z'
'x,-y,z'
'x+1/2,y+1/2,z'
'-x+1/2,-y+1/2,-z'
'-x+1/2,y+1/2,-z'
'x+1/2,-y+1/2,z'
loop_
_atom_site_label
_atom_site_fract_x
_atom_site_fract_y
_atom_site_fract_z
Y1 0.0000 0.0000 0.0000
Ga1 0.0467 0.5000 0.2220
I1 0.0000 0.0000 0.5000
O1 0.0071 0.2012 0.7163
O2 0.1780 0.5000 0.9873
O3 0.2289 0.5000 0.4711
```

---

3.
AcEr4Sn4: optimized geometry, PBE-GGA.

Values from the calculation:
**Theoretical density**: 7.47 g cm⁻³
**Total energy**: -4.709 eV/atom
**Energy of formation from the pure elements**: -445 meV per atom
**DOS(E_F)**: 17.732 states/eV/cell

CIF file:
```
data_AcEr4Sn4
_symmetry_space_group_name_H-M 'P 42/n'
_symmetry_Int_Tables_number 86
_cell_length_a 10.0240
_cell_length_b 10.0240
_cell_length_c 6.0665
_cell_angle_alpha 90.00
_cell_angle_beta 90.00
_cell_angle_gamma 90.00
loop_
_symmetry_equiv_pos_as_xyz
'x,y,z'
'-x,-y,-z'
'-y,x+1/2,z+1/2'
'y,-x+1/2,-z+1/2'
'-x+1/2,-y+1/2,z'
'x+1/2,y+1/2,-z'
'y+1/2,-x,z+1/2'
'-y+1/2,x,-z+1/2'
loop_
_atom_site_label
_atom_site_fract_x
_atom_site_fract_y
_atom_site_fract_z
Ac1 0.2500 0.2500 0.2500
Er1 0.1135 0.6346 0.1435
Sn1 0.0615 0.5882 0.6601
```

---

4.
Ca2PrAgSe4: optimized geometry, PBE-GGA.

Values from the calculation:
**Theoretical density**: 5.05 g cm⁻³
**Total energy**: -4.761 eV/atom
**ΔE_f (raw)**: -1564 meV/atom

CIF file:
```
data_Ca2PrAgSe4
_symmetry_space_group_name_H-M 'P 1 2/m 1'
_symmetry_Int_Tables_number 10
_cell_length_a 7.2273
_cell_length_b 4.2500
_cell_length_c 7.3449
_cell_angle_alpha 90.00
_cell_angle_beta 109.87
_cell_angle_gamma 90.00
loop_
_symmetry_equiv_pos_as_xyz
'x,y,z'
'-x,-y,-z'
'-x,y,-z'
'x,-y,z'
loop_
_atom_site_label
_atom_site_fract_x
_atom_site_fract_y
_atom_site_fract_z
Ca1 0.0000 0.0000 0.0000
Ca2 0.5000 0.5000 0.0000
Pr1 0.0000 0.5000 0.5000
Ag1 0.5000 0.0000 0.5000
Se1 0.2477 0.0000 0.7547
Se2 0.2525 0.5000 0.2523
```